# 1
## TiTlSb2 (PBE-GGA)

Data for a geometry-optimized TiTlSb2 structure.

## Properties
The mass density comes out at 5.73 g/cm3. The total energy is -4.486 eV per atom. The formation energy from raw total energies comes out at 140.0 meV/atom. The energy above the most stable polymorph in this dataset comes out at 6.723 kcal/mol of atoms. The value obtained for the density of states at the Fermi level is 0.899 states/eV per atom.

a b c (Å): 8.092 8.092 8.092
angles (deg): 131.92 131.92 70.36
Positions (direct):
Ti (0.000, 0.000, 0.000)
Ti (0.750, 0.250, 0.500)
Tl (0.250, 0.750, 0.500)
Tl (0.500, 0.500, 0.000)
Sb (0.074, 0.625, 0.949)
Sb (0.375, 0.324, 0.449)
Sb (0.676, 0.125, 0.051)
Sb (0.875, 0.926, 0.551)

***

# 2
## U4CdPt15 (PBE-GGA)

Data for a geometry-optimized U4CdPt15 structure.

## Properties
The mass density comes out at 18.72 g/cm3. As for the formation energy: -0.648 eV per atom. The total energy is -7.482 eV per atom. The value obtained for the density of states at the Fermi level is 1.442 states/eV per atom.

a b c (Å): 4.147 4.147 20.583
angles (deg): 90.00 90.00 90.00
Positions (direct):
U (0.000, 0.000, 0.102)
U (0.000, 0.000, 0.307)
U (0.000, 0.000, 0.693)
U (0.000, 0.000, 0.898)
Cd (0.000, 0.000, 0.500)
Pt (0.000, 0.500, 0.000)
Pt (0.000, 0.500, 0.203)
Pt (0.000, 0.500, 0.401)
Pt (0.000, 0.500, 0.599)
Pt (0.000, 0.500, 0.797)
Pt (0.500, 0.000, 0.000)
Pt (0.500, 0.000, 0.203)
Pt (0.500, 0.000, 0.401)
Pt (0.500, 0.000, 0.599)
Pt (0.500, 0.000, 0.797)
Pt (0.500, 0.500, 0.101)
Pt (0.500, 0.500, 0.303)
Pt (0.500, 0.500, 0.500)
Pt (0.500, 0.500, 0.697)
Pt (0.500, 0.500, 0.899)

***

# 3
## Tb8Y6Th (PBE-GGA)

Data for a geometry-optimized Tb8Y6Th structure.

## Properties
The mass density comes out at 6.90 g/cm3. As for the formation energy: 0.117 eV per atom. The total energy is -5.433 eV per atom. The value obtained for the density of states at the Fermi level is 1.610 states/eV per atom.

a b c (Å): 8.654 8.654 8.654
angles (deg): 63.14 63.14 63.14
Positions (direct):
Tb (0.077, 0.077, 0.077)
Tb (0.218, 0.252, 0.612)
Tb (0.252, 0.612, 0.218)
Tb (0.388, 0.782, 0.748)
Tb (0.612, 0.218, 0.252)
Tb (0.748, 0.388, 0.782)
Tb (0.782, 0.748, 0.388)
Tb (0.923, 0.923, 0.923)
Y (0.038, 0.737, 0.602)
Y (0.263, 0.398, 0.962)
Y (0.398, 0.962, 0.263)
Y (0.602, 0.038, 0.737)
Y (0.737, 0.602, 0.038)
Y (0.962, 0.263, 0.398)
Th (0.500, 0.500, 0.500)

***

Question: mass density of number 3 (Tb8Y6Th)?
Answer: 6.90 g/cm3